[1]
Material: Be3Hg2W2
Method: DFT, PBE
State: optimized geometry

a b c (Å): 7.1466 7.1466 7.1466
angles (deg): 33.78 33.78 33.78
Closest atoms and distances in Å follow each position.
Element x y z (fractional)
Be1 0.3755 0.3755 0.3755  4 W 2.45-2.53, 4 Hg 2.56-2.61
Be2 0.6257 0.6257 0.6257  4 W 2.56-2.60, 4 Hg 2.57
Be3 0.8748 0.8748 0.8748  4 Hg 2.46-2.52, 4 W 2.56-2.59
Hg1 0.2463 0.2463 0.2463  7 Be 2.52-2.61
Hg2 0.7530 0.7530 0.7530  5 Be 2.46-2.57
W1 0.0028 0.0028 0.0028  7 Be 2.53-2.59
W2 0.4969 0.4969 0.4969  5 Be 2.45-2.60

Results
total energy = -4.58 eV/atom
spin magnetization = 0.73 μB per cell
space group = R3m, No. 160

[2]
Material: Y2BeHg
Method: DFT, PBE
State: optimized geometry

a b c (Å): 5.0428 5.0428 5.0428
angles (deg): 60.00 60.00 60.00
Closest atoms and distances in Å follow each position.
Element x y z (fractional)
Be1 0.5000 0.5000 0.5000  4 Hg 3.09, 4 Y 3.09
Hg1 0.2500 0.2500 0.2500  4 Be 3.09, 4 Y 3.09
Y1 0.0000 0.0000 0.0000  4 Y 3.09, 4 Hg 3.09
Y2 0.7500 0.7500 0.7500  4 Be 3.09, 4 Y 3.09

Results
total energy = -3.90 eV/atom
spin magnetization = 1.41 μB per cell
space group = F-43m, No. 216